# Sb5Ir3Au | the Open Quantum Materials Database | PBE | optimized geometry
data_Sb5Ir3Au
_chemical_formula_sum 'Sb5 Ir3 Au1'
_cell_length_a 5.5931
_cell_length_b 5.5931
_cell_length_c 7.8110
_cell_angle_alpha 90.00
_cell_angle_beta 90.00
_cell_angle_gamma 120.00
_symmetry_space_group_name_H-M 'P 1'
_symmetry_Int_Tables_number 1
_symmetry_space_group_name_Hall 'P 1'
loop_
_atom_site_label
_atom_site_type_symbol
_atom_site_fract_x
_atom_site_fract_y
_atom_site_fract_z
Sb1 Sb 0.0000 0.0000 0.0000
Sb2 Sb 0.3333 0.6667 0.2869
Sb3 Sb 0.3333 0.6667 0.7131
Sb4 Sb 0.6667 0.3333 0.2869
Sb5 Sb 0.6667 0.3333 0.7131
Ir1 Ir 0.0000 0.5000 0.0000
Ir2 Ir 0.5000 0.0000 0.0000
Ir3 Ir 0.5000 0.5000 0.0000
Au1 Au 0.0000 0.0000 0.5000
# Total DFT energy (no corrections) (eV per atom): -5.50